This record from Alexandria via LeMat-Bulk describes an optimized crystal structure of SrCu2PH2. The functional is GGA-PBE.

CIF file:
```
data_SrCu2PH2
_chemical_formula_sum 'Sr2 Cu4 P2 H4'
_symmetry_space_group_name_H-M 'P 1 21/m 1'
_symmetry_Int_Tables_number 11
_symmetry_space_group_name_Hall '-P 2yb'
_cell_length_a 6.267
_cell_length_b 4.990
_cell_length_c 6.335
_cell_angle_alpha 90.00
_cell_angle_beta 111.95
_cell_angle_gamma 90.00
loop_
_atom_site_label
_atom_site_fract_x
_atom_site_fract_y
_atom_site_fract_z
_atom_site_occupancy
Sr1 0.181 0.250 0.292 1
Cu1 0.345 0.000 0.803 1
P1 0.314 0.750 0.107 1
H1 0.149 0.250 0.703 1
H2 0.323 0.750 0.614 1
```

E: -47.73 eV/cell
DOS at the Fermi energy: 5.40 states/eV/cell